KBe2PH2: optimized geometry, GGA-PBE. Values from VASP.

Size of the total moment: 0.00 μB/cell
Uncorrected energy: -45.76 eV for the cell shown

Quantum ESPRESSO input file:
```
&SYSTEM
  ibrav = 0, nat = 12, ntyp = 4
/
ATOMIC_SPECIES
Be 9.01 Be.upf
K 39.10 K.upf
P 30.97 P.upf
H 1.01 H.upf
CELL_PARAMETERS angstrom
-1.8381 -2.2909 3.1929
-4.9602 -2.1492 -4.3975
5.8685 -3.6826 0.7361
ATOMIC_POSITIONS crystal
Be 0.5000 0.8366 0.8354
K 0.2500 0.6781 0.3213
P 0.7500 0.8753 0.1224
Be 0.0000 0.1634 0.1646
H 0.7500 0.7555 0.6593
P 0.2500 0.1247 0.8776
H 0.2500 0.6604 0.7526
Be 0.5000 0.1634 0.1646
H 0.7500 0.3396 0.2474
K 0.7500 0.3219 0.6787
H 0.2500 0.2445 0.3407
Be 0.0000 0.8366 0.8354
```

***

ZnOsIN2: optimized geometry, GGA-PBE. Values from VASP.

Size of the total moment: 0.00 μB/cell
Uncorrected formation energy: 0.770 eV per atom
E above lowest polymorph: 0.000 eV/f.u.

Quantum ESPRESSO input file:
```
&SYSTEM
  ibrav = 0, nat = 5, ntyp = 4
/
ATOMIC_SPECIES
N 14.01 N.upf
Zn 65.41 Zn.upf
Os 190.23 Os.upf
I 126.90 I.upf
CELL_PARAMETERS angstrom
-2.1530 -2.7668 1.6123
1.7685 -2.6470 -2.1808
4.1586 -0.7445 4.2759
ATOMIC_POSITIONS crystal
N 0.5000 0.0000 0.0000
Zn 0.5000 0.5000 0.5000
N 0.0000 0.5000 0.0000
Os 0.0000 0.0000 0.0000
I 0.0000 0.0000 0.5000
```

***

- Which value of size of the total moment does entry 1 give?
  0.00 μB/cell

***

- Which formula does entry 1 have?
  KBe2PH2